Crystalline MnCu2Ir at its relaxed geometry. Source: Alexandria via LeMat-Bulk, functional PBE-GGA.

Cell: 4.123 4.123 4.123 Å, 60.00 60.00 60.00°
Positions (direct):
Mn1 0.000 0.000 0.000
Ir1 0.500 0.500 0.500
Cu1 0.250 0.250 0.250
Cu2 0.750 0.750 0.750

Summary:
The calculation puts the formation energy at 0.387 eV per atom. The density of states at the Fermi level comes out at 5.96 states/eV/f.u.